No. 1
This record from the Alexandria database describes a relaxed structure of ZrPt2Pb. The functional is GGA-PBE.

Cell lengths 4.6575, 4.6575, 3.6436 Å; angles 90.00, 90.00, 90.00 degrees
Last column: nearest neighbours and their distance in Å.
Space group P4/mmm (No. 123)
Symmetry-distinct sites (fractional):
Zr (0.0000, 0.0000, 0.0000) [1 per cell]  8 Pt 2.96, 4 Pb 3.29
Pt (0.0000, 0.5000, 0.5000) [2 per cell]  4 Zr 2.96, 4 Pb 2.96, 4 Pt 3.29
Pb (0.5000, 0.5000, 0.0000) [1 per cell]  8 Pt 2.96, 4 Zr 3.29

Output
ΔE_f = -440.3 meV per atom

No. 2
This record from the Alexandria database describes a relaxed structure of ZrPt2Pb. The functional is GGA-PBE.

Cell lengths 9.3452, 3.6486, 4.9202 Å; angles 90.00, 103.72, 90.00 degrees
Last column: nearest neighbours and their distance in Å.
Space group Cm (No. 8)
Symmetry-distinct sites (fractional):
Zr (0.0000, 0.0000, 0.0000) [2 per cell]  5 Pt 2.76-2.80, 1 Pb 3.06
Pt (0.2279, 0.5000, 0.1461) [2 per cell]  3 Zr 2.77-2.80, 3 Pt 2.94-2.99, 4 Pb 3.05-3.07
Pt (0.4763, 0.0000, 0.4074) [2 per cell]  2 Zr 2.76, 3 Pb 2.84-2.98, 3 Pt 2.94-2.99
Pb (0.2273, 0.0000, 0.6433) [2 per cell]  7 Pt 2.84-3.07, 1 Zr 3.06

Output
ΔE_f = -493.8 meV per atom

No. 3
This record from the Alexandria database describes a relaxed structure of Zr2Pt9Pb. The functional is GGA-PBE.

Cell lengths 4.0699, 4.0699, 12.3024 Å; angles 90.00, 90.00, 90.00 degrees
Last column: nearest neighbours and their distance in Å.
Space group P4/mmm (No. 123)
Symmetry-distinct sites (fractional):
Zr (0.0000, 0.0000, 0.1643) [2 per cell]  12 Pt 2.83-2.88
Pt (0.0000, 0.5000, 0.0000) [2 per cell]  8 Pt 2.86-2.88, 4 Zr 2.87
Pt (0.0000, 0.5000, 0.3238) [4 per cell]  2 Zr 2.83, 8 Pt 2.83-2.97, 2 Pb 2.97
Pt (0.5000, 0.5000, 0.1635) [2 per cell]  8 Pt 2.83-2.86, 4 Zr 2.88
Pt (0.5000, 0.5000, 0.5000) [1 per cell]  4 Pb 2.88, 8 Pt 2.97
Pb (0.0000, 0.0000, 0.5000) [1 per cell]  12 Pt 2.88-2.97

Output
ΔE_f = -744.4 meV per atom

No. 4
This record from the Alexandria database describes a relaxed structure of ZrPtPb. The functional is GGA-PBE.

Cell lengths 4.7187, 4.7187, 3.2208 Å; angles 90.00, 90.00, 120.00 degrees
Last column: nearest neighbours and their distance in Å.
Space group P-6m2 (No. 187)
Symmetry-distinct sites (fractional):
Zr (0.0000, 0.0000, 0.0000) [1 per cell]  6 Pb 3.16, 6 Pt 3.16, 2 Zr 3.22
Pt (0.3333, 0.6667, 0.5000) [1 per cell]  3 Pb 2.72
Pb (0.6667, 0.3333, 0.5000) [1 per cell]  3 Pt 2.72

Output
ΔE_f = -412.3 meV per atom

No. 5
This record from the Alexandria database describes a relaxed structure of ZrPtPb2. The functional is GGA-PBE.

Cell lengths 7.9975, 7.9975, 6.0727 Å; angles 90.00, 90.00, 90.00 degrees
Last column: nearest neighbours and their distance in Å.
Space group I-42d (No. 122)
Symmetry-distinct sites (fractional):
Zr (0.0000, 0.0000, 0.0000) [4 per cell]  2 Pt 3.04, 4 Pb 3.12
Pt (0.0000, 0.0000, 0.5000) [4 per cell]  4 Pb 2.75, 2 Zr 3.04
Pb (0.2155, 0.2500, 0.6250) [8 per cell]  2 Pt 2.75

Output
ΔE_f = 10.2 meV per atom
Offset from the most stable computed form = 387 meV/atom

No. 6
This record from the Alexandria database describes a relaxed structure of ZrPt2Pb. The functional is GGA-PBE.

Cell lengths 6.7339, 6.7339, 6.7339 Å; angles 90.00, 90.00, 90.00 degrees
Last column: nearest neighbours and their distance in Å.
Space group F-43m (No. 216)
Symmetry-distinct sites (fractional):
Zr (0.0000, 0.0000, 0.0000) [4 per cell]  4 Pb 2.92, 4 Pt 2.92
Pt (0.0000, 0.0000, 0.5000) [4 per cell]  4 Pb 2.92, 4 Pt 2.92
Pt (0.2500, 0.2500, 0.7500) [4 per cell]  4 Zr 2.92, 4 Pt 2.92
Pb (0.2500, 0.2500, 0.2500) [4 per cell]  4 Zr 2.92, 4 Pt 2.92

Output
ΔE_f = -392.5 meV per atom

No. 7
This record from the Alexandria database describes a relaxed structure of Pu3Pb5. The functional is GGA-PBE.

Cell lengths 9.3268, 10.0099, 4.9164 Å; angles 90.00, 90.00, 90.00 degrees
Last column: nearest neighbours and their distance in Å.
Space group Cmmm (No. 65)
Symmetry-distinct sites (fractional):
Pu (0.0000, 0.0000, 0.0000) [2 per cell]  8 Pb 3.29-3.42, 4 Pu 3.67
Pu (0.0000, 0.2718, 0.5000) [4 per cell]  10 Pb 3.36-3.49, 2 Pu 3.67
Pb (0.0000, 0.5000, 0.0000) [2 per cell]  4 Pu 3.36, 8 Pb 3.42-3.48
Pb (0.2352, 0.0000, 0.5000) [4 per cell]  6 Pu 3.29-3.49, 6 Pb 3.48-3.51
Pb (0.2500, 0.2500, 0.0000) [4 per cell]  6 Pu 3.40-3.42, 6 Pb 3.42-3.51

Output
ΔE_f = -87.6 meV per atom

No. 8
This record from the Alexandria database describes a relaxed structure of PuPb4. The functional is GGA-PBE.

Cell lengths 5.8741, 5.8741, 5.8741 Å; angles 90.00, 90.00, 90.00 degrees
Last column: nearest neighbours and their distance in Å.
Space group Pm-3m (No. 221)
Symmetry-distinct sites (fractional):
Pu (0.0000, 0.0000, 0.0000) [1 per cell]  6 Pb 2.94
Pb (0.0000, 0.0000, 0.5000) [3 per cell]  2 Pu 2.94
Pb (0.5000, 0.5000, 0.5000) [1 per cell]  12 Pb 4.15

Output
ΔE_f = 611.2 meV per atom
Offset from the most stable computed form = 633 meV/atom

No. 9
This record from the Alexandria database describes a relaxed structure of Pu6Pb. The functional is GGA-PBE.

Cell lengths 6.7115, 6.7115, 6.7115 Å; angles 90.00, 90.00, 90.00 degrees
Last column: nearest neighbours and their distance in Å.
Space group Im-3m (No. 229)
Symmetry-distinct sites (fractional):
Pu (0.0000, 0.2500, 0.5000) [12 per cell]  4 Pu 2.37
Pb (0.0000, 0.0000, 0.0000) [2 per cell]  24 Pu 3.75

Output
ΔE_f = 338.8 meV per atom

No. 10
This record from the Alexandria database describes a relaxed structure of Pu2Pb3. The functional is GGA-PBE.

Cell lengths 3.4387, 3.4387, 24.1744 Å; angles 90.00, 90.00, 90.00 degrees
Last column: nearest neighbours and their distance in Å.
Space group P4/mmm (No. 123)
Symmetry-distinct sites (fractional):
Pu (0.0000, 0.0000, 0.0969) [2 per cell]  8 Pb 3.38-3.40, 4 Pu 3.44
Pu (0.0000, 0.0000, 0.2925) [2 per cell]  8 Pb 3.39-3.44, 4 Pu 3.44
Pb (0.0000, 0.0000, 0.5000) [1 per cell]  12 Pb 3.44-3.55
Pb (0.5000, 0.5000, 0.0000) [1 per cell]  8 Pu 3.38, 4 Pb 3.44
Pb (0.5000, 0.5000, 0.1950) [2 per cell]  8 Pu 3.39-3.40, 4 Pb 3.44
Pb (0.5000, 0.5000, 0.3932) [2 per cell]  8 Pb 3.44-3.55, 4 Pu 3.44

Output
ΔE_f = -104.6 meV per atom

No. 11
This record from the Alexandria database describes a relaxed structure of PuPb7. The functional is GGA-PBE.

Cell lengths 9.8988, 9.8988, 9.8988 Å; angles 90.00, 90.00, 90.00 degrees
Last column: nearest neighbours and their distance in Å.
Space group Fm-3m (No. 225)
Symmetry-distinct sites (fractional):
Pu (0.0000, 0.0000, 0.0000) [4 per cell]  12 Pb 3.50
Pb (0.0000, 0.0000, 0.5000) [4 per cell]  12 Pb 3.50
Pb (0.0000, 0.2500, 0.2500) [24 per cell]  10 Pb 3.50, 2 Pu 3.50

Output
ΔE_f = -30.9 meV per atom

No. 12
This record from the Alexandria database describes a relaxed structure of Pu5Pb6. The functional is GGA-PBE.

Cell lengths 16.7336, 6.8666, 5.7892 Å; angles 90.00, 93.67, 90.00 degrees
Last column: nearest neighbours and their distance in Å.
Space group C2/m (No. 12)
Symmetry-distinct sites (fractional):
Pu (0.0000, 0.0000, 0.0000) [2 per cell]  8 Pb 3.34-3.35, 2 Pu 3.53
Pu (0.1558, 0.5000, 0.6769) [4 per cell]  8 Pb 3.26-3.50, 3 Pu 3.44-3.64
Pu (0.1700, 0.0000, 0.6693) [4 per cell]  8 Pb 3.33-3.39, 4 Pu 3.44-3.64
Pb (0.0000, 0.2433, 0.5000) [4 per cell]  6 Pu 3.26-3.39, 4 Pb 3.34-3.52
Pb (0.1657, 0.2474, 0.1697) [8 per cell]  7 Pu 3.33-3.50, 4 Pb 3.40-3.54

Output
ΔE_f = -16.5 meV per atom

No. 13
This record from the Alexandria database describes a relaxed structure of PuPb4. The functional is GGA-PBE.

Cell lengths 25.7891, 6.7783, 3.4846 Å; angles 90.00, 97.57, 90.00 degrees
Last column: nearest neighbours and their distance in Å.
Space group C2/m (No. 12)
Symmetry-distinct sites (fractional):
Pu (0.1558, 0.0000, 0.4060) [4 per cell]  10 Pb 3.39-3.53, 2 Pu 3.48
Pb (0.0562, 0.2524, 0.8069) [8 per cell]  8 Pb 3.35-3.48, 2 Pu 3.52-3.53
Pb (0.1521, 0.5000, 0.4029) [4 per cell]  2 Pu 3.39, 10 Pb 3.44-3.49
Pb (0.2500, 0.2500, 0.0000) [4 per cell]  8 Pb 3.39-3.49, 4 Pu 3.42

Output
ΔE_f = -22.2 meV per atom
Offset from the most stable computed form = 0 meV/atom

No. 14
This record from the Alexandria database describes a relaxed structure of Pu3Pb. The functional is GGA-PBE.

Cell lengths 4.5958, 4.5958, 9.7161 Å; angles 90.00, 90.00, 90.00 degrees
Last column: nearest neighbours and their distance in Å.
Space group I4/mmm (No. 139)
Symmetry-distinct sites (fractional):
Pu (0.0000, 0.0000, 0.0000) [2 per cell]  4 Pb 3.25, 8 Pu 3.34
Pu (0.0000, 0.5000, 0.2500) [4 per cell]  8 Pu 3.25-3.34, 4 Pb 3.34
Pb (0.0000, 0.0000, 0.5000) [2 per cell]  12 Pu 3.25-3.34

Output
ΔE_f = 11.2 meV per atom
Offset from the most stable computed form = 63 meV/atom

No. 15
This record from the Alexandria database describes a relaxed structure of Pu3Pb. The functional is GGA-PBE.

Cell lengths 7.6228, 7.6228, 7.6228 Å; angles 90.00, 90.00, 90.00 degrees
Last column: nearest neighbours and their distance in Å.
Space group Fm-3m (No. 225)
Symmetry-distinct sites (fractional):
Pu (0.0000, 0.0000, 0.0000) [4 per cell]  8 Pu 3.30
Pu (0.2500, 0.2500, 0.2500) [8 per cell]  4 Pb 3.30, 4 Pu 3.30
Pb (0.0000, 0.0000, 0.5000) [4 per cell]  8 Pu 3.30

Output
ΔE_f = 49.8 meV per atom
Offset from the most stable computed form = 101 meV/atom

No. 16
This record from the Alexandria database describes a relaxed structure of Pu3Pb. The functional is GGA-PBE.

Cell lengths 4.7722, 4.7722, 4.7722 Å; angles 90.00, 90.00, 90.00 degrees
Last column: nearest neighbours and their distance in Å.
Space group Pm-3m (No. 221)
Symmetry-distinct sites (fractional):
Pu (0.0000, 0.0000, 0.5000) [3 per cell]  4 Pb 3.37, 8 Pu 3.37
Pb (0.5000, 0.5000, 0.5000) [1 per cell]  12 Pu 3.37

Output
ΔE_f = -51.4 meV per atom
Offset from the most stable computed form = 0 meV/atom

No. 17
This record from the Alexandria database describes a relaxed structure of Pu5Pb4. The functional is GGA-PBE.

Cell lengths 9.5238, 9.5238, 6.5323 Å; angles 90.00, 90.00, 120.00 degrees
Last column: nearest neighbours and their distance in Å.
Space group P6_3/mcm (No. 193)
Symmetry-distinct sites (fractional):
Pu (0.0000, 0.3030, 0.2500) [6 per cell]  7 Pb 3.19-3.32
Pu (0.3333, 0.6667, 0.0000) [4 per cell]  2 Pu 3.27, 6 Pb 3.46
Pb (0.0000, 0.0000, 0.0000) [2 per cell]  2 Pb 3.27, 6 Pu 3.32
Pb (0.0000, 0.3624, 0.7500) [6 per cell]  9 Pu 3.19-3.46

Output
ΔE_f = -112.0 meV per atom

No. 18
This record from the Alexandria database describes a relaxed structure of Pu4Pb. The functional is GGA-PBE.

Cell lengths 5.9248, 5.9248, 5.9248 Å; angles 90.00, 90.00, 90.00 degrees
Last column: nearest neighbours and their distance in Å.
Space group Pm-3m (No. 221)
Symmetry-distinct sites (fractional):
Pu (0.0000, 0.0000, 0.0000) [1 per cell]  12 Pu 4.19
Pu (0.0000, 0.5000, 0.5000) [3 per cell]  2 Pb 2.96
Pb (0.5000, 0.5000, 0.5000) [1 per cell]  6 Pu 2.96

Output
ΔE_f = 960.4 meV per atom

No. 19
This record from the Alexandria database describes a relaxed structure of Pu3Pb2. The functional is GGA-PBE.

Cell lengths 6.2690, 9.7355, 8.9466 Å; angles 90.00, 90.00, 90.00 degrees
Last column: nearest neighbours and their distance in Å.
Space group Cmce (No. 64)
Symmetry-distinct sites (fractional):
Pu (0.0000, 0.0000, 0.0000) [4 per cell]  4 Pu 2.99
Pu (0.2500, 0.1239, 0.2500) [8 per cell]  4 Pu 2.99-3.13, 4 Pb 3.16-3.32
Pb (0.0000, 0.1370, 0.5875) [8 per cell]  1 Pb 3.09, 6 Pu 3.16-3.40

Output
ΔE_f = 105.7 meV per atom

No. 20
This record from the Alexandria database describes a relaxed structure of Pu5Pb. The functional is GGA-PBE.

Cell lengths 4.5583, 14.5483, 4.7001 Å; angles 90.00, 90.00, 90.00 degrees
Last column: nearest neighbours and their distance in Å.
Space group Cmmm (No. 65)
Symmetry-distinct sites (fractional):
Pu (0.0000, 0.0000, 0.0000) [2 per cell]  4 Pb 3.27, 8 Pu 3.28-3.37
Pu (0.0000, 0.1660, 0.5000) [4 per cell]  10 Pu 3.27-3.43, 2 Pb 3.32
Pu (0.0000, 0.3378, 0.0000) [4 per cell]  10 Pu 3.27-3.43, 2 Pb 3.33
Pb (0.0000, 0.5000, 0.5000) [2 per cell]  12 Pu 3.27-3.33

Output
ΔE_f = 114.2 meV per atom